This record from the Alexandria database describes a relaxed structure of La3TlSb. The functional is PBE.

Cell: 5.9987 5.9987 5.9987 Å, 90.00 90.00 90.00°
Last column: nearest neighbours and their distance in Å.
Atoms (fractional coordinates):
1 La 0.0000 0.0000 0.5000  2 Sb 3.00
2 La 0.0000 0.5000 0.0000  2 Sb 3.00
3 La 0.5000 0.0000 0.0000  2 Sb 3.00
4 Tl 0.5000 0.5000 0.5000  12 La 4.24
5 Sb 0.0000 0.0000 0.0000  6 La 3.00

Summary:
- crystal system = cubic
- E_tot (eV per atom) = -4.450
- space group = No. 221

---

This record from the Alexandria database describes a relaxed structure of CsK2GePd. The functional is PBE.

Cell: 6.3579 6.3579 4.8843 Å, 90.00 90.00 90.00°
Last column: nearest neighbours and their distance in Å.
Atoms (fractional coordinates):
1 Cs 0.0000 0.0000 0.0000  8 K 4.01
2 K 0.0000 0.5000 0.5000  2 Pd 3.18
3 K 0.5000 0.0000 0.5000  2 Pd 3.18
4 Ge 0.5000 0.5000 0.0000  2 Pd 2.44
5 Pd 0.5000 0.5000 0.5000  2 Ge 2.44

Summary:
- crystal system = tetragonal
- space group = No. 123
- energy relative to the elements (meV per atom) = -45.9

---

This record from the Alexandria database describes a relaxed structure of Ga2HRuPt. The functional is PBE.

Cell: 4.2168 4.2168 3.4648 Å, 90.00 90.00 90.00°
Last column: nearest neighbours and their distance in Å.
Atoms (fractional coordinates):
1 Ga 0.0000 0.5000 0.0000  2 H 2.11
2 Ga 0.5000 0.0000 0.0000  2 H 2.11
3 H 0.0000 0.0000 0.0000  2 Ru 1.73
4 Ru 0.0000 0.0000 0.5000  2 H 1.73
5 Pt 0.5000 0.5000 0.5000  8 Ga 2.73, 4 Ru 2.98

Summary:
- crystal system = tetragonal
- E_tot (eV per atom) = -5.151
- space group = No. 123

---

This record from the Alexandria database describes a relaxed structure of NaCaDyMg. The functional is PBE.

Cell: 5.6194 5.6194 5.6194 Å, 60.00 60.00 60.00°
Last column: nearest neighbours and their distance in Å.
Atoms (fractional coordinates):
1 Na 0.0000 0.0000 0.0000  4 Dy 3.44, 4 Ca 3.44
2 Ca 0.2500 0.2500 0.2500  4 Na 3.44, 4 Mg 3.44
3 Dy 0.7500 0.7500 0.7500  4 Mg 3.44, 4 Na 3.44
4 Mg 0.5000 0.5000 0.5000  4 Dy 3.44, 4 Ca 3.44

Summary:
- crystal system = cubic
- space group = No. 216
- energy relative to the elements (meV per atom) = 144.8